(1)
Material: BaIrPt2
Method: DFT, PBE
State: optimized geometry

Unit cell a=5.0765 b=5.0765 c=17.3520 alpha=90.00 beta=90.00 gamma=90.00
Fractional positions:
Ba: 0.0000 0.0000 0.0000
Ba: 0.0000 0.5000 0.2500
Ba: 0.5000 0.0000 0.7500
Ba: 0.5000 0.5000 0.5000
Ir: 0.0000 0.0000 0.5000
Ir: 0.0000 0.5000 0.7500
Ir: 0.5000 0.0000 0.2500
Ir: 0.5000 0.5000 0.0000
Pt: 0.0426 0.2500 0.6250
Pt: 0.2500 0.5426 0.8750
Pt: 0.2500 0.9574 0.3750
Pt: 0.4574 0.2500 0.1250
Pt: 0.5426 0.7500 0.1250
Pt: 0.7500 0.0426 0.3750
Pt: 0.7500 0.4574 0.8750
Pt: 0.9574 0.7500 0.6250

Results
Space-group type   I-42d (122)
Relative energy among the computed polymorphs   249 meV/atom
DFT formation energy   -0.148 eV/atom



(2)
Material: BaIrPt2
Method: DFT, PBE
State: optimized geometry

Unit cell a=7.8300 b=4.5220 c=6.1326 alpha=90.00 beta=115.31 gamma=90.00
Fractional positions:
Ba: 0.0000 0.0000 0.0000
Ba: 0.5000 0.5000 0.0000
Ir: 0.0000 0.5000 0.5000
Ir: 0.5000 0.0000 0.5000
Pt: 0.1903 0.0000 0.5707
Pt: 0.3097 0.5000 0.4293
Pt: 0.6903 0.5000 0.5707
Pt: 0.8097 0.0000 0.4293

Results
Space-group type   C2/m (12)
Relative energy among the computed polymorphs   0 meV/atom
DFT formation energy   -0.397 eV/atom



(3)
Material: BaIrPt2
Method: DFT, PBE
State: optimized geometry

Unit cell a=3.3582 b=3.3582 c=7.4777 alpha=90.00 beta=90.00 gamma=90.00
Fractional positions:
Ba: 0.0000 0.0000 0.0000
Ir: 0.0000 0.0000 0.5000
Pt: 0.5000 0.5000 0.3209
Pt: 0.5000 0.5000 0.6791

Results
Space-group type   P4/mmm (123)
Relative energy among the computed polymorphs   482 meV/atom
DFT formation energy   0.085 eV/atom



(4)
Material: BaIrPt2
Method: DFT, PBE
State: optimized geometry

Unit cell a=7.9086 b=4.5664 c=6.1716 alpha=90.00 beta=115.39 gamma=90.00
Fractional positions:
Ba: 0.0000 0.0000 0.0000
Ba: 0.5000 0.5000 0.0000
Ir: 0.3189 0.5000 0.4577
Ir: 0.8189 0.0000 0.4577
Pt: 0.1825 0.0000 0.5480
Pt: 0.4934 0.0000 0.4810
Pt: 0.6825 0.5000 0.5480
Pt: 0.9934 0.5000 0.4810

Results
Space-group type   Cm (8)
Relative energy among the computed polymorphs   10 meV/atom
DFT formation energy   -0.387 eV/atom



(5)
Material: BaIr2Pt
Method: DFT, PBE
State: optimized geometry

Unit cell a=2.9272 b=3.7562 c=7.5013 alpha=90.00 beta=90.00 gamma=90.00
Fractional positions:
Ba: 0.0000 0.0000 0.0000
Ir: 0.0000 0.0000 0.4777
Ir: 0.5000 0.5000 0.3349
Pt: 0.5000 0.5000 0.6960

Results
Space-group type   Pmm2 (25)
Relative energy among the computed polymorphs   394 meV/atom
DFT formation energy   0.185 eV/atom



(6)
Material: Ba2IrPt2
Method: DFT, PBE
State: optimized geometry

Unit cell a=7.1369 b=7.1369 c=4.9415 alpha=90.00 beta=90.00 gamma=90.00
Fractional positions:
Ba: 0.1806 0.3194 0.0000
Ba: 0.3194 0.8194 0.0000
Ba: 0.6806 0.1806 0.0000
Ba: 0.8194 0.6806 0.0000
Ir: 0.0000 0.0000 0.5000
Ir: 0.5000 0.5000 0.5000
Pt: 0.1344 0.6344 0.5000
Pt: 0.3656 0.1344 0.5000
Pt: 0.6344 0.8656 0.5000
Pt: 0.8656 0.3656 0.5000

Results
Space-group type   P4/mbm (127)
DFT formation energy   -0.258 eV/atom